Crystalline Dy2AgIr at its relaxed geometry, computed with PBE.

Cell: 5.0346 3.5465 9.8927 Å, 90.00 90.00 90.00°
Closest atoms and distances in Å follow each position.
Space group Pmma (No. 51)
One atom of each set of equivalent atoms:
Dy (0.2500, 0.0000, 0.1117)  6 Ir 2.94-3.08, 2 Ag 3.17
Dy (0.2500, 0.0000, 0.6470)  2 Ir 2.87, 6 Ag 3.09-3.20
Ag (0.2500, 0.5000, 0.3778)  8 Dy 3.09-3.20
Ir (0.2500, 0.5000, 0.8748)  8 Dy 2.87-3.08

Output
ΔE_f = -0.61 eV per atom
Fermi-level density of states = 3.2 states/eV per cell
total DFT energy (no corrections) = -5.841 eV/atom
energy above the lowest structure with this stoichiometry = 0 meV/atom